# 1
# LiTlB2N | the Alexandria database | PBE | optimized geometry
data_LiTlB2N
_chemical_formula_sum 'Li1 Tl1 B2 N1'
_symmetry_space_group_name_H-M 'P 4/m m m'
_symmetry_Int_Tables_number 123
_symmetry_space_group_name_Hall '-P 4 2'
_cell_length_a 3.6696
_cell_length_b 3.6696
_cell_length_c 4.0880
_cell_angle_alpha 90.00
_cell_angle_beta 90.00
_cell_angle_gamma 90.00
loop_
_atom_site_label
_atom_site_type_symbol
_atom_site_fract_x
_atom_site_fract_y
_atom_site_fract_z
Li1 Li 0.0000 0.0000 0.0000
Tl1 Tl 0.5000 0.5000 0.0000
B1 B 0.0000 0.5000 0.5000
N1 N 0.0000 0.0000 0.5000
# E_form (uncorrected): 1.188 eV/atom
# E above lowest polymorph: 0.0 kJ per mole of atoms
# M_tot: 0.000 μB/cell

---

# 2
# LiZr2BN | the Alexandria database | PBE | optimized geometry
data_LiZr2BN
_chemical_formula_sum 'Li1 Zr2 B1 N1'
_symmetry_space_group_name_H-M 'P 4/m m m'
_symmetry_Int_Tables_number 123
_symmetry_space_group_name_Hall '-P 4 2'
_cell_length_a 4.3509
_cell_length_b 4.3509
_cell_length_c 3.6537
_cell_angle_alpha 90.00
_cell_angle_beta 90.00
_cell_angle_gamma 90.00
loop_
_atom_site_label
_atom_site_type_symbol
_atom_site_fract_x
_atom_site_fract_y
_atom_site_fract_z
Li1 Li 0.0000 0.0000 0.0000
Zr1 Zr 0.0000 0.5000 0.5000
B1 B 0.5000 0.5000 0.0000
N1 N 0.0000 0.0000 0.5000
# E_form (uncorrected): -0.506 eV/atom
# M_tot: 0.000 μB/cell

---

# 3
# NaLiB | the Alexandria database | PBE | optimized geometry
data_NaLiB
_chemical_formula_sum 'Na4 Li4 B4'
_symmetry_space_group_name_H-M 'C 1 m 1'
_symmetry_Int_Tables_number 8
_symmetry_space_group_name_Hall 'C -2y'
_cell_length_a 9.3336
_cell_length_b 4.1557
_cell_length_c 5.8065
_cell_angle_alpha 90.00
_cell_angle_beta 117.24
_cell_angle_gamma 90.00
loop_
_atom_site_label
_atom_site_type_symbol
_atom_site_fract_x
_atom_site_fract_y
_atom_site_fract_z
Na1 Na 0.0000 0.0000 0.0000
Na2 Na 0.2186 0.0000 0.5445
Li1 Li 0.0773 0.5000 0.7401
Li2 Li 0.3668 0.0000 0.2311
B1 B 0.2555 0.5000 0.1961
B2 B 0.4042 0.5000 0.4653
# E above lowest polymorph: 4.6 kJ per mole of atoms
# E_form: 0.326 eV per atom
# M_tot: 0.000 μB/cell

---

# 4
# Na2LiB2 | the Alexandria database | PBE | optimized geometry
data_Na2LiB2
_chemical_formula_sum 'Na4 Li2 B4'
_symmetry_space_group_name_H-M 'P 4/m b m'
_symmetry_Int_Tables_number 127
_symmetry_space_group_name_Hall '-P 4 2ab'
_cell_length_a 6.1852
_cell_length_b 6.1852
_cell_length_c 4.4024
_cell_angle_alpha 90.00
_cell_angle_beta 90.00
_cell_angle_gamma 90.00
loop_
_atom_site_label
_atom_site_type_symbol
_atom_site_fract_x
_atom_site_fract_y
_atom_site_fract_z
Na1 Na 0.1788 0.3212 0.0000
Li1 Li 0.0000 0.0000 0.5000
B1 B 0.0894 0.5894 0.5000
# E above lowest polymorph: 4.6 kJ per mole of atoms
# E_form: 0.661 eV per atom
# M_tot: 0.000 μB/cell